Record 1
TbErTm2Sc5 | GGA-PBE | optimized geometry

a = 5.3059 Å, b = 9.6083 Å, c = 10.2597 Å
α = 90.00°, β = 90.00°, γ = 106.03°
With the nearest neighbours (Å) after each atom.
Sites, in units of the cell vectors:
Sc1 0.2988 0.5976 0.7093  3 Sc 3.22-3.31, 3 Tm 3.33-3.55, 3 Tb 3.35-3.51, 1 Er 3.38
Sc2 0.9788 0.9577 0.5326  2 Er 2.98, 2 Tm 3.14-3.27
Tb1 0.2081 0.4161 0.0096  8 Sc 3.30-3.53, 2 Tm 3.39-3.68, 2 Er 3.56
Sc3 0.0212 0.0423 0.0326  2 Er 2.98, 2 Tm 3.14-3.27
Tm1 0.1126 0.2253 0.3239  9 Sc 3.22-3.43
Sc4 0.3992 0.7985 0.0236  5 Sc 3.14-3.51, 4 Tm 3.36-3.42, 1 Er 3.45
Sc5 0.4777 0.9554 0.7342  2 Er 3.01-3.04, 5 Sc 3.14-3.36, 2 Tm 3.27
Sc6 0.7012 0.4024 0.2093  3 Sc 3.22-3.31, 3 Tm 3.33-3.55, 3 Tb 3.35-3.51, 1 Er 3.38
Er1 0.5825 0.1651 0.9582  5 Sc 2.92-3.04
Tm2 0.8874 0.7747 0.8239  9 Sc 3.22-3.43
Tb2 0.7919 0.5839 0.5096  8 Sc 3.30-3.53, 2 Tm 3.39-3.68, 2 Er 3.56
Sc7 0.6008 0.2015 0.5236  5 Sc 3.14-3.51, 4 Tm 3.36-3.42, 1 Er 3.45
Sc8 0.2863 0.5726 0.2989  1 Er 2.92, 2 Sc 3.22, 1 Tm 3.22
Sc9 0.5223 0.0446 0.2342  2 Er 3.01-3.04, 5 Sc 3.14-3.36, 2 Tm 3.27
Tm3 0.1070 0.2139 0.7337  6 Sc 3.14-3.45, 1 Tb 3.39
Tm4 0.8930 0.7861 0.2337  6 Sc 3.14-3.45, 1 Tb 3.39
Er2 0.4175 0.8349 0.4582  5 Sc 2.92-3.04
Sc10 0.7137 0.4274 0.7989  1 Er 2.92, 2 Sc 3.22, 1 Tm 3.22

total moment: 0.00 μB/atom
energy of formation from the pure elements: 0.17 eV/atom

---

Record 2
NaLaPr2S4 | GGA-PBE | optimized geometry

a = 4.1115 Å, b = 7.0839 Å, c = 7.1932 Å
α = 109.26°, β = 90.00°, γ = 90.00°
With the nearest neighbours (Å) after each atom.
Sites, in units of the cell vectors:
Pr1 0.0000 0.5000 0.5000  6 S 2.91
S1 0.0000 0.7522 0.2529  3 Pr 2.90-2.91, 1 La 2.91, 2 Na 2.93
La1 0.0000 0.0000 0.0000  6 S 2.91-2.92
S2 0.5000 0.7480 0.7500  1 Na 2.90, 3 Pr 2.91-2.92, 2 La 2.92
S3 0.5000 0.2520 0.2500  1 Na 2.90, 3 Pr 2.91-2.92, 2 La 2.92
Pr2 0.5000 0.0000 0.5000  6 S 2.90-2.92
S4 0.0000 0.2478 0.7471  3 Pr 2.90-2.91, 1 La 2.91, 2 Na 2.93
Na1 0.5000 0.5000 0.0000  6 S 2.90-2.93

total moment: 0.00 μB/atom
uncorrected formation energy: -1.9425 eV per atom

---

Record 3
LaAgIr2 | GGA-PBE | optimized geometry

a = 2.9524 Å, b = 3.8711 Å, c = 7.0511 Å
α = 90.00°, β = 90.00°, γ = 90.00°
With the nearest neighbours (Å) after each atom.
Sites, in units of the cell vectors:
La1 0.0000 0.0000 0.4750  2 La 2.95, 5 Ir 3.02-3.18
Ir1 0.5000 0.5000 0.1851  4 Ir 2.62, 1 Ag 2.76
Ag1 0.5000 0.5000 0.7933  5 Ir 2.76-3.02, 2 Ag 2.95
Ir2 0.0000 0.0000 0.0467  4 Ir 2.62

total moment: 0.00 μB/atom
excess energy over the best structure of this formula in the dataset: 0.109 eV per atom
energy of formation from the pure elements: 0.02 eV/atom

---

Record 4
BeCuSi2Rh | GGA-PBE | optimized geometry

a = 4.3420 Å, b = 3.9623 Å, c = 4.3420 Å
α = 90.00°, β = 90.00°, γ = 90.00°
With the nearest neighbours (Å) after each atom.
Sites, in units of the cell vectors:
Si1 0.5000 0.0000 0.0000  2 Cu 2.17
Cu1 0.0000 0.0000 0.0000  2 Be 1.98, 4 Si 2.17
Rh1 0.5000 0.5000 0.5000  8 Si 2.94, 4 Be 3.07
Be1 0.0000 0.5000 0.0000  2 Cu 1.98
Si2 0.0000 0.0000 0.5000  2 Cu 2.17

total moment: 0.00 μB/atom
uncorrected formation energy: 0.6891 eV per atom

---

Record 5
BiPbSe2N | GGA-PBE | optimized geometry

a = 5.5846 Å, b = 5.5846 Å, c = 4.2985 Å
α = 90.00°, β = 90.00°, γ = 90.00°
With the nearest neighbours (Å) after each atom.
Sites, in units of the cell vectors:
Pb1 0.0000 0.0000 0.0000  2 N 2.15
Bi1 0.5000 0.5000 0.5000  8 Se 3.52
N1 0.0000 0.0000 0.5000  2 Pb 2.15
Se1 0.0000 0.5000 0.0000  2 Pb 2.79
Se2 0.5000 0.0000 0.0000  2 Pb 2.79

total moment: 0.00 μB/atom
excess energy over the best structure of this formula in the dataset: 0.241 eV per atom
uncorrected formation energy: 0.8920 eV per atom

---

Record 6
HoEr2Ru2 | GGA-PBE | optimized geometry

a = 3.3577 Å, b = 3.3822 Å, c = 10.2179 Å
α = 80.47°, β = 90.00°, γ = 90.00°
With the nearest neighbours (Å) after each atom.
Sites, in units of the cell vectors:
Ru1 0.5000 0.4112 0.1776  4 Er 2.84, 4 Ho 2.98
Ho1 0.0000 0.0000 0.0000  8 Ru 2.98, 2 Er 3.34
Er1 0.0000 0.8344 0.3311  4 Ru 2.84
Er2 0.0000 0.1656 0.6689  4 Ru 2.84
Ru2 0.5000 0.5888 0.8224  4 Er 2.84, 4 Ho 2.98

total moment: 0.00 μB/atom
excess energy over the best structure of this formula in the dataset: 0.000 eV per atom
energy of formation from the pure elements: -0.36 eV/atom

---

Record 7
SmMgB14 | GGA-PBE | optimized geometry

a = 5.9347 Å, b = 7.4064 Å, c = 7.4064 Å
α = 68.30°, β = 66.38°, γ = 66.38°
With the nearest neighbours (Å) after each atom.
Sites, in units of the cell vectors:
B1 0.3336 0.6364 0.6964  6 B 1.79-1.88
B2 0.5833 0.2474 0.5860  6 B 1.77-1.88
B3 0.3282 0.3770 0.4704  6 B 1.75-1.87
B4 0.7801 0.2205 0.8997  6 B 1.81-1.90
B5 0.8336 0.1964 0.1364  6 B 1.79-1.88
B6 0.4167 0.7526 0.4140  6 B 1.77-1.88
B7 0.1756 0.6230 0.5296  6 B 1.75-1.87
B8 0.5997 0.3997 0.7205  6 B 1.81-1.90
B9 0.4003 0.6003 0.2795  6 B 1.81-1.90
B10 0.8671 0.7603 0.5056  3 B 1.75-1.77
Sm1 0.2500 0.3896 0.1104  10 B 2.55-2.85
B11 0.9003 0.7795 0.1003  6 B 1.81-1.90
B12 0.0833 0.0860 0.7474  6 B 1.77-1.88
B13 0.2801 0.3997 0.7205  6 B 1.81-1.90
B14 0.6329 0.9944 0.7397  3 B 1.75-1.77
B15 0.8244 0.3770 0.4704  6 B 1.75-1.87
B16 0.3671 0.0056 0.2603  3 B 1.75-1.77
B17 0.2199 0.7795 0.1003  6 B 1.81-1.90
Sm2 0.7500 0.6104 0.8896  10 B 2.55-2.85
B18 0.1718 0.0296 0.1230  6 B 1.75-1.87
B19 0.9167 0.9140 0.2526  6 B 1.77-1.88
B20 0.6664 0.3636 0.3036  6 B 1.79-1.88
B21 0.1664 0.8036 0.8636  6 B 1.79-1.88
Mg1 0.5000 0.0000 0.5000  8 B 2.20-2.42
B22 0.7199 0.6003 0.2795  6 B 1.81-1.90
B23 0.8282 0.9704 0.8770  6 B 1.75-1.87
B24 0.3244 0.9704 0.8770  6 B 1.75-1.87
Mg2 0.0000 0.0000 0.5000  8 B 2.20-2.42
B25 0.6718 0.6230 0.5296  6 B 1.75-1.87
B26 0.6756 0.0296 0.1230  6 B 1.75-1.87
B27 0.1329 0.2397 0.4944  3 B 1.75-1.77
B28 0.0997 0.2205 0.8997  6 B 1.81-1.90

total moment: 0.00 μB/atom
energy of formation from the pure elements: -0.21 eV/atom

---

Record 8
TaV2RhC | GGA-PBE | optimized geometry

a = 3.9529 Å, b = 3.9529 Å, c = 4.2903 Å
α = 90.00°, β = 90.00°, γ = 90.00°
With the nearest neighbours (Å) after each atom.
Sites, in units of the cell vectors:
V1 0.5000 0.0000 0.0000  2 C 1.98
V2 0.0000 0.5000 0.0000  2 C 1.98
Ta1 0.0000 0.0000 0.5000  2 C 2.15
Rh1 0.5000 0.5000 0.5000  4 Ta 2.80, 8 V 2.92
C1 0.0000 0.0000 0.0000  4 V 1.98, 2 Ta 2.15

total moment: 0.00 μB/atom
energy of formation from the pure elements: -0.32 eV/atom

---

Record 9
KP2PdCl | GGA-PBE | optimized geometry

a = 4.4824 Å, b = 4.4824 Å, c = 7.9177 Å
α = 90.00°, β = 90.00°, γ = 90.00°
With the nearest neighbours (Å) after each atom.
Sites, in units of the cell vectors:
P1 0.0000 0.5000 0.0000  2 Pd 2.24
K1 0.5000 0.5000 0.5000  4 Cl 3.17
P2 0.5000 0.0000 0.0000  2 Pd 2.24
Pd1 0.0000 0.0000 0.0000  4 P 2.24
Cl1 0.0000 0.0000 0.5000  4 K 3.17

total moment: 0.04 μB/atom
excess energy over the best structure of this formula in the dataset: 0.000 eV per atom
uncorrected formation energy: -0.1806 eV per atom

---

Record 10
CaCdCo3 | GGA-PBE | optimized geometry

a = 4.7904 Å, b = 4.7904 Å, c = 4.7904 Å
α = 90.00°, β = 90.00°, γ = 90.00°
With the nearest neighbours (Å) after each atom.
Sites, in units of the cell vectors:
Co1 0.0000 0.5000 0.0000  2 Cd 2.40
Cd1 0.0000 0.0000 0.0000  6 Co 2.40
Co2 0.0000 0.0000 0.5000  2 Cd 2.40
Ca1 0.5000 0.5000 0.5000  12 Co 3.39
Co3 0.5000 0.0000 0.0000  2 Cd 2.40

total moment: 0.96 μB/atom
excess energy over the best structure of this formula in the dataset: 0.000 eV per atom
energy of formation from the pure elements: 1.16 eV/atom

---

Record 11
TiCdOsPt2 | GGA-PBE | optimized geometry

a = 4.7716 Å, b = 4.7486 Å, c = 4.7716 Å
α = 90.00°, β = 90.00°, γ = 90.00°
With the nearest neighbours (Å) after each atom.
Sites, in units of the cell vectors:
Cd1 0.0000 0.0000 0.0000  2 Ti 2.37, 4 Pt 2.39
Os1 0.5000 0.5000 0.5000  8 Pt 3.37, 4 Ti 3.37
Pt1 0.5000 0.0000 0.0000  2 Cd 2.39
Pt2 0.0000 0.0000 0.5000  2 Cd 2.39
Ti1 0.0000 0.5000 0.0000  2 Cd 2.37

total moment: 0.00 μB/atom
energy of formation from the pure elements: 1.94 eV/atom

---

Record 12
TeRu | GGA-PBE | optimized geometry

a = 9.8722 Å, b = 9.8722 Å, c = 4.1002 Å
α = 90.00°, β = 90.00°, γ = 120.00°
With the nearest neighbours (Å) after each atom.
Sites, in units of the cell vectors:
Te1 0.6148 0.8894 0.7500  4 Ru 2.57-2.60
Ru1 0.4349 0.3918 0.2500  4 Te 2.57-2.60, 2 Ru 2.77
Ru2 0.3918 0.9570 0.7500  4 Te 2.57-2.60, 2 Ru 2.77
Te2 0.1106 0.7254 0.7500  4 Ru 2.57-2.60
Te3 0.8894 0.2746 0.2500  4 Ru 2.57-2.60
Te4 0.7254 0.6148 0.2500  4 Ru 2.57-2.60
Ru3 0.0430 0.4349 0.7500  4 Te 2.57-2.60, 2 Ru 2.77
Ru4 0.9570 0.5651 0.2500  4 Te 2.57-2.60, 2 Ru 2.77
Te5 0.3852 0.1106 0.2500  4 Ru 2.57-2.60
Ru5 0.5651 0.6082 0.7500  4 Te 2.57-2.60, 2 Ru 2.77
Ru6 0.6082 0.0430 0.2500  4 Te 2.57-2.60, 2 Ru 2.77
Te6 0.2746 0.3852 0.7500  4 Ru 2.57-2.60

total moment: 0.00 μB/atom
uncorrected formation energy: 0.1638 eV per atom

---

Number 1: calculated volume 502.7 Å³/cell. Number 2: calculated volume 197.8 Å³/cell. Number 3: calculated volume 80.6 Å³/cell. Number 4: calculated volume 74.7 Å³/cell. Number 5: calculated volume 134.1 Å³/cell. Number 6: calculated volume 114.4 Å³/cell. Number 7: calculated volume 264.7 Å³/cell. Number 8: calculated volume 67.0 Å³/cell. Number 9: calculated volume 159.1 Å³/cell. Number 10: calculated volume 109.9 Å³/cell. Number 11: calculated volume 108.1 Å³/cell. Number 12: calculated volume 346.1 Å³/cell.